Entry from the Alexandria database: crystalline BaSb2TeW at its relaxed geometry (PBE).

Cell: 5.226 5.226 6.017 Å, 90.00 90.00 90.00°
Each line ends with the local moment (μB).
Sites, in units of the cell vectors:
W 0.000 0.000 0.000  0.44
Te 0.000 0.000 0.500  0.00
Ba 0.500 0.500 0.500  0.00
Sb 0.500 0.000 0.000  -0.02
Sb 0.000 0.500 0.000  -0.02

Properties
Electronic total energy   -26.5 eV/cell
ΔE to the lowest computed polymorph   0.000 eV/atom
Total magnetic moment   0.49 μB/cell
N(E_F)   0.856 states/eV/atom
E_form (uncorrected)   -55 meV per atom

---

Entry from the Alexandria database: crystalline BaSb2TeW at its relaxed geometry (PBE).

Cell: 6.005 6.005 6.115 Å, 90.00 90.00 90.00°
Each line ends with the local moment (μB).
Sites, in units of the cell vectors:
Te 0.000 0.000 0.500  0.02
Sb 0.000 0.500 0.000  -0.01
Sb 0.500 0.000 0.000  -0.01
W 0.500 0.500 0.500  0.10
Ba 0.000 0.000 0.000  0.00

Properties
Electronic total energy   -14.7 eV/cell
ΔE to the lowest computed polymorph   2.368 eV/atom
Total magnetic moment   0.14 μB/cell
N(E_F)   2.305 states/eV/atom
E_form (uncorrected)   2313 meV per atom

---

Entry from the Alexandria database: crystalline BaYSbTe2 at its relaxed geometry (PBE).

Cell: 5.893 5.893 5.800 Å, 90.00 90.00 90.00°
Sites, in units of the cell vectors:
Te 0.000 0.500 0.000
Te 0.500 0.000 0.000
Sb 0.000 0.000 0.500
Y 0.000 0.000 0.000
Ba 0.500 0.500 0.500

Properties
Electronic total energy   -23.3 eV/cell
ΔE to the lowest computed polymorph   0.000 eV/atom
Total magnetic moment   0.00 μB/cell
N(E_F)   0.996 states/eV/atom
E_form (uncorrected)   -893 meV per atom

---

Entry from the Alexandria database: crystalline BaYSbTe2 at its relaxed geometry (PBE).

Cell: 6.194 6.194 5.973 Å, 90.00 90.00 90.00°
Sites, in units of the cell vectors:
Y 0.500 0.500 0.500
Sb 0.000 0.000 0.500
Te 0.500 0.000 0.000
Te 0.000 0.500 0.000
Ba 0.000 0.000 0.000

Properties
Electronic total energy   -17.3 eV/cell
ΔE to the lowest computed polymorph   1.195 eV/atom
Total magnetic moment   0.00 μB/cell
N(E_F)   0.822 states/eV/atom
E_form (uncorrected)   302 meV per atom